## A
A plane-wave DFT calculation with PBE-GGA was carried out for a geometry-optimized Zr2TaFe structure.

Lattice parameters (Å, degrees): 3.140 3.140 7.518 90.00 90.00 90.00
Each line ends with the local moment (μB).
Sites, in units of the cell vectors:
Zr 0.000 0.000 0.982  0.01
Ta 0.500 0.500 0.704  -0.15
Fe 0.000 0.000 0.524  1.03
Zr 0.500 0.500 0.290  -0.07

The value obtained for the total moment is 0.747 μB/cell. As for the crystal system: tetragonal.


## B
A plane-wave DFT calculation with PBE-GGA was carried out for a geometry-optimized Zr2TaFe structure.

Lattice parameters (Å, degrees): 5.507 5.384 3.002 79.11 79.88 117.54
Each line ends with the local moment (μB).
Sites, in units of the cell vectors:
Fe 0.000 0.500 0.500  1.67
Zr 0.000 0.000 0.000  -0.15
Ta 0.500 0.500 0.000  -0.13
Zr 0.500 0.000 0.500  -0.15

The value obtained for the total moment is 1.001 μB/cell. As for the crystal system: monoclinic.


Which is the most stable structure? A is the most stable.


## A
A plane-wave DFT calculation with PBE-GGA was carried out for a geometry-optimized Zr2TaFe structure.

Lattice parameters (Å, degrees): 4.712 4.712 4.712 119.97 119.97 90.05
Each line ends with the local moment (μB).
Sites, in units of the cell vectors:
Fe 0.250 0.750 0.500  1.79
Zr 0.000 0.000 0.000  -0.10
Ta 0.750 0.250 0.500  0.34
Zr 0.500 0.500 0.000  -0.10

The value obtained for the total moment is 1.933 μB/cell. As for the crystal system: cubic.


## B
A plane-wave DFT calculation with PBE-GGA was carried out for a geometry-optimized Zr2TaFe structure.

Lattice parameters (Å, degrees): 4.664 4.664 4.664 60.00 60.00 60.00
Each line ends with the local moment (μB).
Sites, in units of the cell vectors:
Fe 0.500 0.500 0.500  1.15
Zr 0.000 0.000 0.000  0.16
Zr 0.250 0.250 0.250  -0.03
Ta 0.750 0.750 0.750  -0.06

The value obtained for the total moment is 1.221 μB/cell. As for the crystal system: cubic.


## C
A plane-wave DFT calculation with PBE-GGA was carried out for a geometry-optimized Zr2TaFe structure.

Lattice parameters (Å, degrees): 5.475 5.475 5.475 136.95 136.95 62.52
Each line ends with the local moment (μB).
Sites, in units of the cell vectors:
Zr 0.250 0.750 0.500  -0.03
Ta 0.750 0.250 0.500  0.04
Zr 0.000 0.000 0.000  -0.16
Fe 0.500 0.500 0.000  2.15

The value obtained for the total moment is 1.951 μB/cell. As for the crystal system: tetragonal.


## D
A plane-wave DFT calculation with PBE-GGA was carried out for a geometry-optimized Zr2TaFe structure.

Lattice parameters (Å, degrees): 5.473 5.473 4.821 63.82 63.82 34.67
Each line ends with the local moment (μB).
Sites, in units of the cell vectors:
Ta 0.250 0.250 0.250  -0.09
Fe 0.750 0.750 0.750  0.61
Zr 0.026 0.026 0.974  -0.07
Zr 0.474 0.474 0.526  -0.07

The value obtained for the total moment is 0.251 μB/cell. As for the crystal system: orthorhombic.


Which is the most stable structure? D is the most stable.


## A
A plane-wave DFT calculation with PBE-GGA was carried out for a geometry-optimized Zr2TaFe structure.

Lattice parameters (Å, degrees): 9.059 9.059 9.059 19.92 19.92 19.92
Each line ends with the local moment (μB).
Sites, in units of the cell vectors:
Zr 0.509 0.509 0.509  -0.15
Ta 0.750 0.750 0.750  -0.01
Zr 0.991 0.991 0.991  -0.15
Fe 0.250 0.250 0.250  1.40

The value obtained for the total moment is 0.963 μB/cell. As for the crystal system: trigonal.


## B
A plane-wave DFT calculation with PBE-GGA was carried out for a geometry-optimized Zr2TaFe structure.

Lattice parameters (Å, degrees): 7.426 7.426 5.943 51.34 51.34 90.00
Sites, in units of the cell vectors:
Zr 0.171 0.625 0.250
Zr 0.375 0.421 0.750
Fe 0.250 0.750 0.500
Zr 0.875 0.829 0.750
Ta 0.000 0.000 0.000
Zr 0.579 0.125 0.250
Fe 0.500 0.500 0.000
Ta 0.750 0.250 0.500

The value obtained for the total moment is 0.000 μB/cell. As for the crystal system: tetragonal.


## C
A plane-wave DFT calculation with PBE-GGA was carried out for a geometry-optimized Zr2TaFe structure.

Lattice parameters (Å, degrees): 3.219 3.209 7.795 65.72 90.00 90.00
Each line ends with the local moment (μB).
Sites, in units of the cell vectors:
Ta 0.500 0.750 0.750  -0.01
Zr 0.000 0.528 0.472  -0.11
Zr 0.000 0.972 0.028  -0.11
Fe 0.500 0.250 0.250  0.75

The value obtained for the total moment is 0.423 μB/cell. As for the crystal system: orthorhombic.


## D
A plane-wave DFT calculation with PBE-GGA was carried out for a geometry-optimized Zr2TaFe structure.

Lattice parameters (Å, degrees): 5.544 5.544 4.810 64.25 64.25 34.02
Each line ends with the local moment (μB).
Sites, in units of the cell vectors:
Zr 0.997 0.997 0.003  -0.09
Fe 0.509 0.509 0.491  0.57
Zr 0.774 0.774 0.726  -0.07
Ta 0.219 0.219 0.281  -0.10

The value obtained for the total moment is 0.188 μB/cell. As for the crystal system: orthorhombic.


Which is the most stable structure? C is the most stable.


## A
A plane-wave DFT calculation with PBE-GGA was carried out for a geometry-optimized Zr3TaFe structure.

Lattice parameters (Å, degrees): 5.059 5.059 5.059 90.00 90.00 90.00
Sites, in units of the cell vectors:
Ta 0.000 0.000 0.000
Zr 0.000 0.500 0.000
Zr 0.500 0.000 0.000
Zr 0.000 0.000 0.500
Fe 0.500 0.500 0.500

The value obtained for the total moment is 0.085 μB/cell. As for the crystal system: cubic.


## B
A plane-wave DFT calculation with PBE-GGA was carried out for a geometry-optimized Zr3TaFe structure.

Lattice parameters (Å, degrees): 4.773 4.773 4.773 90.00 90.00 90.00
Sites, in units of the cell vectors:
Zr 0.000 0.500 0.000
Zr 0.000 0.000 0.500
Fe 0.000 0.000 0.000
Ta 0.500 0.500 0.500
Zr 0.500 0.000 0.000

The value obtained for the total moment is 0.000 μB/cell. As for the crystal system: cubic.


Which is the most stable structure? B is the most stable.